A plane-wave DFT calculation with PBE was carried out for KZnAu2 after structural relaxation.

Results
energy of formation	-12.7	kJ/mol of atoms
M_tot	0.000	Bohr magnetons per cell

```
KZnAu2
1.0
-1.6146 1.2318 2.6693
-2.9353 -0.5102 -1.5405
-0.3764 -7.2527 3.1192
Au K Zn
2 1 1
Cartesian
-0.3510 -6.7644 2.9092
-0.2135 -4.1146 1.7696
-2.3691 -1.4524 1.3442
-2.5573 -5.0787 2.9038
```